Below is crystalline CaAcTl6 at its relaxed geometry, with properties calculated at the PBE level. Values from VASP.

Geometry as Quantum ESPRESSO input:
```
&SYSTEM
  ibrav = 0, nat = 8, ntyp = 3
/
ATOMIC_SPECIES
Ca 40.08 Ca.upf
Ac 227.00 Ac.upf
Tl 204.38 Tl.upf
ATOMIC_POSITIONS angstrom
Ca 0.0000 0.0000 0.0000
Ac 2.7642 0.0000 8.2069
Tl 0.0000 -1.6774 3.1200
Tl 0.0000 1.6774 3.1200
Tl 0.0000 0.0000 6.0416
Tl 2.7642 0.0000 2.0851
Tl 2.7642 -1.7475 5.1221
Tl 2.7642 1.7475 5.1221
CELL_PARAMETERS angstrom
5.5284 0.0000 0.0000
0.0000 3.5855 6.0994
0.0000 -3.5855 6.0994
```

Relative energy among the computed polymorphs   28 meV/atom
Formation enthalpy at 0 K   -186 kJ/mol of formula units
Crystal system   orthorhombic